Below is Na3SmBr6 after structural relaxation, with properties calculated at the PBE level.

a b c (Å): 7.4864 7.4864 8.0146
angles (deg): 62.16 62.16 60.00
Fractional coordinates of all 10 atoms:
Na: 0.1529 0.1529 0.5414
Na: 0.3507 0.3507 0.9480
Na: 0.6465 0.6465 0.0605
Br: 0.9472 0.5762 0.2500
Br: 0.0526 0.4526 0.7427
Br: 0.4526 0.7520 0.7427
Br: 0.2266 0.9472 0.2500
Br: 0.7520 0.0526 0.7427
Br: 0.5762 0.2266 0.2500
Sm: 0.8427 0.8427 0.4719

Calculated values
Uncorrected energy ... -3.557 eV/atom
Magnetization ... 0.00 μB per formula unit
Formation energy (no corrections) ... -1.686 eV per atom

***

Below is Na2SmBr5 after structural relaxation, with properties calculated at the PBE level.

a b c (Å): 8.3724 8.8514 12.8794
angles (deg): 90.00 90.00 90.00
Fractional coordinates of all 32 atoms:
Br: 0.8143 0.7500 0.2097
Br: 0.3390 0.5469 0.5888
Br: 0.3390 0.9531 0.5888
Br: 0.4405 0.2500 0.0114
Br: 0.0595 0.2500 0.5114
Br: 0.8390 0.4531 0.9112
Br: 0.5595 0.7500 0.9886
Br: 0.1610 0.9531 0.0888
Br: 0.1857 0.2500 0.7903
Br: 0.6373 0.2500 0.6817
Br: 0.8390 0.0469 0.9112
Br: 0.3627 0.7500 0.3183
Br: 0.9405 0.7500 0.4886
Br: 0.3143 0.2500 0.2903
Br: 0.6610 0.0469 0.4112
Br: 0.8627 0.2500 0.1817
Br: 0.1373 0.7500 0.8183
Br: 0.6610 0.4531 0.4112
Br: 0.6857 0.7500 0.7097
Br: 0.1610 0.5469 0.0888
Sm: 0.0853 0.2500 0.0076
Sm: 0.4147 0.2500 0.5076
Sm: 0.5853 0.7500 0.4924
Sm: 0.9147 0.7500 0.9924
Na: 0.5150 0.9901 0.1789
Na: 0.0150 0.0099 0.3211
Na: 0.5150 0.5099 0.1789
Na: 0.4850 0.0099 0.8211
Na: 0.0150 0.4901 0.3211
Na: 0.9850 0.9901 0.6789
Na: 0.4850 0.4901 0.8211
Na: 0.9850 0.5099 0.6789

Calculated values
Uncorrected energy ... -3.657 eV/atom
Magnetization ... 0.00 μB per formula unit
Formation energy (no corrections) ... -1.692 eV per atom

***

- Which formula does entry 2 have?
  Na2SmBr5